# 1
## LiTaNiSn2 (PBE)

Data for a geometry-optimized LiTaNiSn2 structure.

Structure (POSCAR):
```
LiTaNiSn2
1.0
4.853 0.000 0.000
0.000 4.853 0.000
0.000 0.000 4.183
Li Ta Ni Sn
1 1 1 2
direct
0.000 0.000 0.000
0.500 0.500 0.000
0.000 0.000 0.500
0.000 0.500 0.500
0.500 0.000 0.500
```

Results
The formation energy comes out at 0.5641 eV per atom.

# 2
## GdTmHg4 (PBE)

Data for a geometry-optimized GdTmHg4 structure.

Structure (POSCAR):
```
GdTmHg4
1.0
0.000 4.203 4.203
4.203 0.000 4.203
4.203 4.203 0.000
Gd Tm Hg
1 1 4
direct
0.000 0.000 0.000
0.250 0.250 0.250
0.125 0.625 0.625
0.625 0.125 0.625
0.625 0.625 0.125
0.625 0.625 0.625
```

Results
The formation energy comes out at -0.1905 eV per atom.

# 3
## CeDyHo2Tm4 (PBE)

Data for a geometry-optimized CeDyHo2Tm4 structure.

Structure (POSCAR):
```
CeDyHo2Tm4
1.0
4.970 0.000 0.000
0.000 4.970 0.000
0.000 0.000 9.875
Ce Dy Ho Tm
1 1 2 4
direct
0.000 0.000 0.000
0.500 0.500 0.500
0.000 0.000 0.500
0.500 0.500 0.000
0.000 0.500 0.249
0.000 0.500 0.751
0.500 0.000 0.249
0.500 0.000 0.751
```

Results
The formation energy comes out at 0.0456 eV per atom.